<w>
PuZr4Sc: optimized geometry, PBE.

abc: 7.1283 7.1283 4.5513
angles: 90.00 90.00 142.78
Sites, in units of the cell vectors:
Pu: 0.0000 0.0000 0.0000
Zr: 0.1671 0.8329 0.5000
Zr: 0.3345 0.6655 0.0000
Zr: 0.6655 0.3345 0.0000
Zr: 0.8329 0.1671 0.5000
Sc: 0.5000 0.5000 0.5000

Calculated values
spin magnetization = 5.655 μB/f.u.

<x>
PuZr4Sc: optimized geometry, PBE.

abc: 6.1349 5.6165 8.3094
angles: 90.00 97.36 90.00
Sites, in units of the cell vectors:
Pu: 0.0000 0.1592 0.2500
Pu: 0.0000 0.8408 0.7500
Zr: 0.1635 0.3352 0.9122
Zr: 0.1635 0.6648 0.4122
Zr: 0.3341 0.1715 0.5817
Zr: 0.3341 0.8285 0.0817
Zr: 0.6659 0.1715 0.9183
Zr: 0.6659 0.8285 0.4183
Zr: 0.8365 0.3352 0.5878
Zr: 0.8365 0.6648 0.0878
Sc: 0.5000 0.3383 0.2500
Sc: 0.5000 0.6617 0.7500

Calculated values
spin magnetization = 5.593 μB/f.u.

Which is less stable than every other structure shown? <w> is.